# 1
DFT (PBE) results for a relaxed Na5GeAs3 crystal.

abc: 7.5968 8.3985 15.9301
angles: 58.21 90.00 90.00
Last column: nearest neighbours and their distance in Å.
Fractional positions:
Na1 0.6458 0.3146 0.7576  4 As 2.95-2.97
As1 0.7651 0.9273 0.4179  1 Ge 2.49
Na2 0.8542 0.3146 0.2576  4 As 2.95-2.97
Na3 0.9800 0.2595 0.9137  5 As 3.14-3.33, 4 Na 3.40-3.43, 2 Ge 3.43-3.46
As2 0.6911 0.3404 0.5671  2 Ge 2.53-2.57
Na4 0.3373 0.0047 0.9188  4 As 2.97-3.09, 1 Na 3.28
Ge1 0.3562 0.3426 0.5878  4 As 2.47-2.57
Na5 0.0056 0.0819 0.7426  3 As 2.96-3.14, 1 Na 3.28
Na6 0.3542 0.6854 0.2424  4 As 2.95-2.97
As3 0.8089 0.3404 0.0671  2 Ge 2.53-2.57
Na7 0.4800 0.7405 0.5863  5 As 3.14-3.33, 4 Na 3.40-3.43, 2 Ge 3.43-3.46
Na8 0.5369 0.5847 0.0859  3 As 3.04-3.10, 1 Na 3.33
As4 0.7593 0.6388 0.7694  1 Ge 2.47
As5 0.3089 0.6596 0.4329  2 Ge 2.53-2.57
Na9 0.4631 0.4153 0.9141  3 As 3.04-3.10, 1 Na 3.33
As6 0.1911 0.6596 0.9329  2 Ge 2.53-2.57
Na10 0.5200 0.2595 0.4137  5 As 3.14-3.33, 4 Na 3.40-3.43, 2 Ge 3.43-3.46
Na11 0.0369 0.4153 0.4141  3 As 3.04-3.10, 1 Na 3.33
Na12 0.9944 0.9181 0.2574  3 As 2.96-3.14, 1 Na 3.28
Ge2 0.8562 0.6574 0.9122  4 As 2.47-2.57
As7 0.7349 0.9273 0.9179  1 Ge 2.49
As8 0.2349 0.0727 0.5821  1 Ge 2.49
As9 0.2651 0.0727 0.0821  1 Ge 2.49
Na13 0.4944 0.0819 0.2426  3 As 2.96-3.14, 1 Na 3.28
Na14 0.9631 0.5847 0.5859  3 As 3.04-3.10, 1 Na 3.33
Na15 0.5056 0.9181 0.7574  3 As 2.96-3.14, 1 Na 3.28
Na16 0.1458 0.6854 0.7424  4 As 2.95-2.97
As10 0.2593 0.3612 0.7306  1 Ge 2.47
Ge3 0.6438 0.6574 0.4122  4 As 2.47-2.57
Na17 0.8373 0.9953 0.5812  4 As 2.97-3.09, 1 Na 3.28
As11 0.7407 0.6388 0.2694  1 Ge 2.47
Ge4 0.1438 0.3426 0.0878  4 As 2.47-2.57
Na18 0.6627 0.9953 0.0812  4 As 2.97-3.09, 1 Na 3.28
Na19 0.1627 0.0047 0.4188  4 As 2.97-3.09, 1 Na 3.28
Na20 0.0200 0.7405 0.0863  5 As 3.14-3.33, 4 Na 3.40-3.43, 2 Ge 3.43-3.46
As12 0.2407 0.3612 0.2306  1 Ge 2.47

Properties
energy of formation from the pure elements	-3.61	eV/f.u.
space group	P2_1/c (14)

---

# 2
DFT (PBE) results for a relaxed La8NiAu3I4 crystal.

abc: 8.7299 9.5247 8.7883
angles: 117.70 119.78 90.00
Last column: nearest neighbours and their distance in Å.
Fractional positions:
I1 0.0000 0.0000 0.5000  6 La 3.44-3.45
La1 0.7748 0.3002 0.0235  1 Ni 2.88, 2 Au 3.05-3.07
La2 0.7376 0.7114 0.4753  3 Au 3.04-3.06
I2 0.5000 0.0000 0.0000  6 La 3.57-3.60
La3 0.2270 0.7011 0.4540  1 Ni 2.92, 2 Au 3.05
I3 0.5000 0.0000 0.5000  6 La 3.44-3.45
Ni1 0.0000 0.5000 0.0000  6 La 2.88-2.92
La4 0.2624 0.2886 0.5247  3 Au 3.04-3.06
La5 0.7513 0.6998 0.9765  1 Ni 2.88, 2 Au 3.05-3.07
La6 0.2252 0.6998 0.9765  1 Ni 2.88, 2 Au 3.05-3.07
Au1 0.5000 0.5000 0.5000  6 La 3.04-3.07
Au2 0.5000 0.5000 0.0000  6 La 3.05-3.06
La7 0.7730 0.2989 0.5460  1 Ni 2.92, 2 Au 3.05
La8 0.2487 0.3002 0.0235  1 Ni 2.88, 2 Au 3.05-3.07
I4 0.0000 0.0000 0.0000  6 La 3.43-3.45
Au3 0.0000 0.5000 0.5000  6 La 3.04-3.07

Properties
formation energy without anion corrections	-0.8590	eV per atom
space group	C2/m (12)

---

# 3
DFT (PBE) results for a relaxed Mn2NiPbW crystal.

abc: 4.4936 4.7366 4.4936
angles: 90.00 90.00 90.00
Last column: nearest neighbours and their distance in Å.
Fractional positions:
Ni1 0.0000 0.0000 0.0000  4 Mn 2.25, 2 Pb 2.37
Mn1 0.0000 0.0000 0.5000  2 Ni 2.25
W1 0.5000 0.5000 0.5000  4 Pb 3.18, 8 Mn 3.26
Pb1 0.0000 0.5000 0.0000  2 Ni 2.37
Mn2 0.5000 0.0000 0.0000  2 Ni 2.25

Properties
energy of formation from the pure elements	6.28	eV/f.u.
space group	P4/mmm (123)

---

Calculated mass density (g cm⁻³), listed in the same order as above: 3.17, 7.03, 9.72